# Tl5In4Bi (PBE, relaxed)
data_Tl5In4Bi
_chemical_formula_sum 'Tl5 In4 Bi1'
_symmetry_space_group_name_H-M 'P 1'
_symmetry_Int_Tables_number 1
_cell_length_a 5.5764
_cell_length_b 8.5706
_cell_length_c 8.5706
_cell_angle_alpha 108.72
_cell_angle_beta 71.01
_cell_angle_gamma 71.01
loop_
_symmetry_equiv_pos_as_xyz
'x,y,z'
loop_
_atom_site_label
_atom_site_fract_x
_atom_site_fract_y
_atom_site_fract_z
In1 0.9529 0.7971 0.7971
Tl1 0.9926 0.0728 0.4421
Tl2 0.5074 0.5579 0.9272
Bi1 0.2500 0.0000 0.0000
Tl3 0.7500 0.5000 0.5000
In2 0.2500 0.6401 0.3599
Tl4 0.5074 0.9272 0.5579
In3 0.2500 0.3599 0.6401
In4 0.5471 0.2029 0.2029
Tl5 0.9926 0.4421 0.0728
# E_tot = -25.9 eV per cell
# SG = Immm, No. 71
# formation energy from the elements = 75 meV/atom